The following is a DFT calculation (PBEsol) of Ta6Cr7 after structural relaxation.

a = 9.542 Å, b = 9.542 Å, c = 9.542 Å
α = 29.43°, β = 29.43°, γ = 29.43°
Positions (direct):
Ta (0.048, 0.048, 0.048)
Ta (0.150, 0.150, 0.150)
Ta (0.333, 0.333, 0.333)
Ta (0.667, 0.667, 0.667)
Ta (0.850, 0.850, 0.850)
Ta (0.952, 0.952, 0.952)
Cr (0.090, 0.595, 0.595)
Cr (0.405, 0.405, 0.910)
Cr (0.405, 0.910, 0.405)
Cr (0.500, 0.500, 0.500)
Cr (0.595, 0.090, 0.595)
Cr (0.595, 0.595, 0.090)
Cr (0.910, 0.405, 0.405)

Values from the calculation:
Formation energy: -82 meV per atom
DOS(E_F): 11.4 states/eV/cell